1.
Material: LiCrPRh2
Method: DFT, PBE-GGA
State: optimized geometry

Results
mass density	7.4	Mg/m³
energy of formation from the pure elements	76	kJ/mol of atoms

Lattice parameters (Å, degrees): 4.0545 4.0545 4.0449 90.00 90.00 90.00
With the nearest neighbours (Å) after each atom.
Sites, in units of the cell vectors:
Li1 0.0000 0.0000 0.0000  2 P 2.02, 4 Rh 2.03
Cr1 0.5000 0.5000 0.5000  8 Rh 2.86, 4 P 2.87
P1 0.0000 0.0000 0.5000  2 Li 2.02
Rh1 0.0000 0.5000 0.0000  2 Li 2.03
Rh2 0.5000 0.0000 0.0000  2 Li 2.03



2.
Material: Y2BIr2
Method: DFT, PBE-GGA
State: optimized geometry

Results
mass density	9.7	Mg/m³
energy of formation from the pure elements	-63	kJ/mol of atoms

Lattice parameters (Å, degrees): 7.0444 7.0444 7.0444 130.59 72.31 130.79
With the nearest neighbours (Å) after each atom.
Sites, in units of the cell vectors:
Y1 0.1409 0.1768 0.3177  2 B 2.89, 6 Ir 2.91-3.10
Y2 0.3591 0.6768 0.0359  2 B 2.89, 6 Ir 2.91-3.10
Y3 0.6409 0.3232 0.9641  2 B 2.89, 6 Ir 2.91-3.10
Y4 0.8591 0.8232 0.6823  2 B 2.89, 6 Ir 2.91-3.10
B1 0.2500 0.7500 0.5000  4 Ir 2.13
B2 0.7500 0.2500 0.5000  4 Ir 2.13
Ir1 0.1022 0.6718 0.7741  2 B 2.13
Ir2 0.3978 0.1718 0.5696  2 B 2.13
Ir3 0.6022 0.8282 0.4304  2 B 2.13
Ir4 0.8978 0.3282 0.2259  2 B 2.13



3.
Material: SmYGa
Method: DFT, PBE-GGA
State: optimized geometry

Results
mass density	6.3	Mg/m³
energy above the most stable polymorph in this dataset	105	meV per atom
energy of formation from the pure elements	-27	kJ/mol of atoms

Lattice parameters (Å, degrees): 5.0062 5.0062 3.7379 90.00 90.00 120.00
With the nearest neighbours (Å) after each atom.
Sites, in units of the cell vectors:
Sm1 0.0000 0.0000 0.0000  3 Ga 3.12, 3 Y 3.36
Y1 0.6667 0.3333 0.5395  3 Ga 3.01, 3 Sm 3.36
Ga1 0.3333 0.6667 0.3120  3 Y 3.01, 3 Sm 3.12



4.
Material: Pu2Be2InRh5
Method: DFT, PBE-GGA
State: optimized geometry

Results
mass density	12.0	Mg/m³
energy of formation from the pure elements	-55	kJ/mol of atoms

Lattice parameters (Å, degrees): 9.6249 9.6249 3.4028 90.00 90.00 90.00
With the nearest neighbours (Å) after each atom.
Sites, in units of the cell vectors:
Pu1 0.1763 0.3237 0.0000  3 Be 2.78-2.90, 10 Rh 2.94-3.10
Pu2 0.3237 0.8237 0.0000  3 Be 2.78-2.90, 10 Rh 2.94-3.10
Pu3 0.6763 0.1763 0.0000  3 Be 2.78-2.90, 10 Rh 2.94-3.10
Pu4 0.8237 0.6763 0.0000  3 Be 2.78-2.90, 10 Rh 2.94-3.10
Be1 0.1198 0.6198 0.0000  6 Rh 2.35-2.36
Be2 0.3802 0.1198 0.0000  6 Rh 2.35-2.36
Be3 0.6198 0.8802 0.0000  6 Rh 2.35-2.36
Be4 0.8802 0.3802 0.0000  6 Rh 2.35-2.36
In1 0.0000 0.0000 0.0000  8 Rh 2.79
In2 0.5000 0.5000 0.0000  8 Rh 2.79
Rh1 0.0000 0.5000 0.5000  4 Be 2.36
Rh2 0.0717 0.7814 0.5000  2 Be 2.35
Rh3 0.2186 0.0717 0.5000  2 Be 2.35
Rh4 0.2814 0.5717 0.5000  2 Be 2.35
Rh5 0.4283 0.2814 0.5000  2 Be 2.35
Rh6 0.5000 0.0000 0.5000  4 Be 2.36
Rh7 0.5717 0.7186 0.5000  2 Be 2.35
Rh8 0.7186 0.4283 0.5000  2 Be 2.35
Rh9 0.7814 0.9283 0.5000  2 Be 2.35
Rh10 0.9283 0.2186 0.5000  2 Be 2.35